Record 1
Entry from Alexandria: TcAg3 after structural relaxation (PBE). Values from VASP.

Properties
Total moment in μB/cell: 5.91
Uncorrected energy in eV per atom: -4.0949
Space group: P6_3/mmc
Energy of formation from the pure elements in meV per atom: 635
Polymorph energy (0 for the lowest one) in meV/atom: 323

Cell and atoms, written as Quantum ESPRESSO input:
```
&SYSTEM
  ibrav = 0, nat = 8, ntyp = 2
/
ATOMIC_SPECIES
Tc 98.00 Tc.upf
Ag 107.87 Ag.upf
ATOMIC_POSITIONS crystal
Tc 0.333 0.667 0.250
Tc 0.667 0.333 0.750
Ag 0.168 0.337 0.750
Ag 0.168 0.832 0.750
Ag 0.337 0.168 0.250
Ag 0.663 0.832 0.750
Ag 0.832 0.168 0.250
Ag 0.832 0.663 0.250
CELL_PARAMETERS angstrom
5.883 0.000 0.000
-2.941 5.095 0.000
0.000 0.000 4.722
```


Record 2
Entry from Alexandria: Ga3HgOs after structural relaxation (PBE). Values from VASP.

Properties
Total moment in μB/cell: 0.00
Uncorrected energy in eV per atom: -4.1206
Space group: Pm-3m
Energy of formation from the pure elements in meV per atom: 2
Polymorph energy (0 for the lowest one) in meV/atom: 0

Cell and atoms, written as Quantum ESPRESSO input:
```
&SYSTEM
  ibrav = 0, nat = 5, ntyp = 3
/
ATOMIC_SPECIES
Ga 69.72 Ga.upf
Hg 200.59 Hg.upf
Os 190.23 Os.upf
ATOMIC_POSITIONS crystal
Ga 0.000 0.000 0.500
Ga 0.000 0.500 0.000
Ga 0.500 0.000 0.000
Hg 0.500 0.500 0.500
Os 0.000 0.000 0.000
CELL_PARAMETERS angstrom
4.871 0.000 0.000
0.000 4.871 0.000
0.000 0.000 4.871
```


Among the records above, which one has the highest total moment?
TcAg3


Which value of energy of formation from the pure elements does entry 1 give?
635 meV per atom


Among the records above, which one has the highest uncorrected energy?
TcAg3


Which value of total moment does entry 1 give?
5.91 μB/cell